DFT (GGA+U) results for an optimized crystal structure of Li11Nb4Ni9O24.

**V**: 457 Å³/cell
**E_tot**: -6.08 eV per atom

abc: 5.289 9.324 9.869
angles: 73.38 82.28 79.96
Space group P1 (No. 1)
One atom of each set of equivalent atoms:
Li  0.000  0.000  0.000 x1
Li  0.022  0.844  0.544 x1
Li  0.169  0.335  0.167 x1
Li  0.322  0.673  0.334 x1
Li  0.371  0.495  0.877 x1
Li  0.454  0.159  0.961 x1
Li  0.492  0.005  0.499 x1
Li  0.547  0.843  0.035 x1
Li  0.637  0.338  0.676 x1
Li  0.828  0.672  0.832 x1
Li  0.968  0.161  0.458 x1
Nb  0.287  0.832  0.793 x1
Nb  0.425  0.342  0.415 x1
Nb  0.787  0.831  0.293 x1
Nb  0.912  0.334  0.917 x1
Ni  0.086  0.663  0.084 x1
Ni  0.106  0.510  0.627 x1
Ni  0.201  0.171  0.707 x1
Ni  0.243  0.009  0.249 x1
Ni  0.571  0.665  0.587 x1
Ni  0.626  0.510  0.117 x1
Ni  0.702  0.167  0.207 x1
Ni  0.743  0.011  0.747 x1
Ni  0.858  0.489  0.377 x1
O  0.068  0.173  0.080 x1
O  0.069  0.335  0.533 x1
O  0.110  0.999  0.636 x1
O  0.131  0.835  0.177 x1
O  0.210  0.676  0.707 x1
O  0.258  0.337  0.799 x1
O  0.283  0.502  0.245 x1
O  0.340  0.177  0.333 x1
O  0.381  0.999  0.865 x1
O  0.439  0.835  0.407 x1
O  0.440  0.676  0.958 x1
O  0.453  0.504  0.511 x1
O  0.565  0.336  0.033 x1
O  0.570  0.179  0.580 x1
O  0.609  0.995  0.137 x1
O  0.632  0.838  0.675 x1
O  0.722  0.673  0.201 x1
O  0.751  0.498  0.754 x1
O  0.769  0.331  0.293 x1
O  0.835  0.175  0.833 x1
O  0.882  0.996  0.366 x1
O  0.928  0.674  0.464 x1
O  0.940  0.837  0.908 x1
O  0.989  0.498  0.999 x1